The following is a DFT calculation (GGA-PBE) of an optimized crystal structure of Mo3W.

a = 5.356 Å, b = 5.356 Å, c = 2.650 Å
α = 90.00°, β = 90.00°, γ = 120.86°
Fractional positions:
1 Mo 0.000 0.000 0.000
2 Mo 0.000 0.500 0.500
3 Mo 0.500 0.000 0.500
4 W 0.500 0.500 0.000

Calculated values
SG = Cmmm, No. 65
DFT formation energy = 1.32 eV/f.u.

The following is a DFT calculation (GGA-PBE) of an optimized crystal structure of Ca2NbTl3O6.

a = 5.944 Å, b = 5.944 Å, c = 6.705 Å
α = 98.13°, β = 98.13°, γ = 119.95°
Fractional positions:
1 Ca 0.167 0.833 0.000
2 Ca 0.833 0.167 0.000
3 Nb 0.500 0.500 0.000
4 Tl 0.000 0.000 0.500
5 Tl 0.334 0.666 0.500
6 Tl 0.666 0.334 0.500
7 O 0.154 0.442 0.831
8 O 0.270 0.270 0.183
9 O 0.442 0.154 0.831
10 O 0.558 0.846 0.169
11 O 0.730 0.730 0.817
12 O 0.846 0.558 0.169

Calculated values
SG = C2/m, No. 12
VASP energy = -74.738 eV/cell

The following is a DFT calculation (GGA-PBE) of an optimized crystal structure of Mo3Ru4Rh2.

a = 5.205 Å, b = 7.079 Å, c = 8.283 Å
α = 66.88°, β = 74.30°, γ = 71.30°
Fractional positions:
1 Mo 0.062 0.190 0.257
2 Mo 0.276 0.461 0.634
3 Mo 0.391 0.863 0.812
4 Mo 0.609 0.137 0.188
5 Mo 0.724 0.539 0.366
6 Mo 0.938 0.810 0.743
7 Ru 0.049 0.201 0.922
8 Ru 0.052 0.194 0.594
9 Ru 0.273 0.471 0.963
10 Ru 0.397 0.858 0.481
11 Ru 0.603 0.142 0.519
12 Ru 0.727 0.529 0.037
13 Ru 0.948 0.806 0.406
14 Ru 0.951 0.799 0.078
15 Rh 0.276 0.476 0.296
16 Rh 0.389 0.859 0.149
17 Rh 0.611 0.141 0.851
18 Rh 0.724 0.524 0.704

Calculated values
SG = P-1, No. 2
DFT formation energy = -0.54 eV/f.u.

Across the entries above, V takes the values 65.3; 196.9; 131.1 Å³/f.u., respectively.